Record 1
The following is a PBE calculation of a relaxed KSr2ZrW crystal, from Alexandria.

Cell: 6.344 5.046 6.344 Å, 90.00 90.00 90.00°
Fractional positions:
Sr (0.000, 0.000, 0.500)
Sr (0.500, 0.000, 0.000)
K (0.500, 0.500, 0.500)
Zr (0.000, 0.500, 0.000)
W (0.000, 0.000, 0.000)


Record 2
The following is a PBE calculation of a relaxed K2SrY crystal, from Alexandria.

Cell: 6.943 6.943 4.273 Å, 90.00 90.00 90.00°
Fractional positions:
K (0.000, 0.000, 0.000)
K (0.500, 0.500, 0.000)
Sr (0.500, 0.000, 0.500)
Y (0.000, 0.500, 0.500)

Values from the calculation:
The calculation puts the distance to the lowest polymorph of the same formula at 0.279 eV per atom.


Record 3
The following is a PBE calculation of a relaxed KSr2Y crystal, from Alexandria.

Cell: 3.962 3.962 12.655 Å, 90.00 90.00 90.00°
Fractional positions:
K (0.500, 0.500, 0.731)
Sr (0.000, 0.000, 0.017)
Sr (0.500, 0.500, 0.272)
Y (0.000, 0.000, 0.480)

Values from the calculation:
The calculation puts the distance to the lowest polymorph of the same formula at 0.081 eV per atom.


Record 4
The following is a PBE calculation of a relaxed KSr2Y crystal, from Alexandria.

Cell: 14.212 14.212 14.212 Å, 16.27 16.27 16.27°
Fractional positions:
K (0.755, 0.755, 0.755)
Sr (0.996, 0.996, 0.996)
Sr (0.244, 0.244, 0.244)
Y (0.505, 0.505, 0.505)

Values from the calculation:
The calculation puts the distance to the lowest polymorph of the same formula at 0.067 eV per atom.


Record 5
The following is a PBE calculation of a relaxed KSr2Y crystal, from Alexandria.

Cell: 3.934 3.934 13.465 Å, 90.00 90.00 110.56°
Fractional positions:
K (0.500, 0.500, 0.750)
Sr (0.000, 0.000, 0.031)
Sr (0.000, 0.000, 0.469)
Y (0.500, 0.500, 0.250)

Values from the calculation:
The calculation puts the distance to the lowest polymorph of the same formula at 0.010 eV per atom.


Record 6
The following is a PBE calculation of a relaxed K4SrY2 crystal, from Alexandria.

Cell: 7.197 7.197 10.973 Å, 70.86 70.86 90.00°
Fractional positions:
Y (0.580, 0.580, 0.841)
Y (0.420, 0.420, 0.159)
Sr (0.000, 0.000, 0.000)
K (0.789, 0.789, 0.421)
K (0.211, 0.211, 0.579)
K (0.000, 0.500, 0.000)
K (0.500, 0.000, 0.000)


Record 7
The following is a PBE calculation of a relaxed K2SrY crystal, from Alexandria.

Cell: 7.913 7.913 7.913 Å, 139.71 139.71 58.30°
Fractional positions:
K (0.000, 0.000, 0.000)
K (0.500, 0.500, 0.000)
Sr (0.250, 0.750, 0.500)
Y (0.750, 0.250, 0.500)

Values from the calculation:
The calculation puts the distance to the lowest polymorph of the same formula at 0.198 eV per atom.


Record 8
The following is a PBE calculation of a relaxed KSr2Y crystal, from Alexandria.

Cell: 4.034 4.035 13.040 Å, 71.97 90.00 90.00°
Fractional positions:
K (0.500, 0.750, 0.750)
Sr (0.000, 0.962, 0.039)
Sr (0.000, 0.538, 0.461)
Y (0.500, 0.250, 0.250)

Values from the calculation:
The calculation puts the distance to the lowest polymorph of the same formula at 0.000 eV per atom.


Record 9
The following is a PBE calculation of a relaxed KSr2Y crystal, from Alexandria.

Cell: 5.396 5.396 14.190 Å, 79.04 79.04 90.00°
Fractional positions:
Y (0.000, 0.000, 0.000)
Y (0.750, 0.250, 0.500)
Sr (0.631, 0.125, 0.250)
Sr (0.119, 0.625, 0.250)
Sr (0.375, 0.369, 0.750)
Sr (0.875, 0.881, 0.750)
K (0.500, 0.500, 0.000)
K (0.250, 0.750, 0.500)

Values from the calculation:
The calculation puts the distance to the lowest polymorph of the same formula at 0.432 eV per atom.


Record 10
The following is a PBE calculation of a relaxed K2SrY crystal, from Alexandria.

Cell: 6.924 5.446 5.446 Å, 90.00 90.00 90.00°
Fractional positions:
K (0.000, 0.000, 0.000)
K (0.000, 0.500, 0.500)
Sr (0.500, 0.500, 0.000)
Y (0.500, 0.000, 0.500)

Values from the calculation:
The calculation puts the distance to the lowest polymorph of the same formula at 0.197 eV per atom.


Record 11
The following is a PBE calculation of a relaxed K2SrY crystal, from Alexandria.

Cell: 8.151 8.151 8.151 Å, 150.83 127.03 61.61°
Fractional positions:
K (0.995, 0.995, 0.000)
K (0.247, 0.747, 0.500)
Sr (0.514, 0.514, 0.000)
Y (0.743, 0.243, 0.500)

Values from the calculation:
The calculation puts the distance to the lowest polymorph of the same formula at 0.193 eV per atom.


Record 12
The following is a PBE calculation of a relaxed KSr2Y crystal, from Alexandria.

Cell: 7.911 7.911 7.911 Å, 149.19 129.81 60.06°
Fractional positions:
K (0.259, 0.759, 0.500)
Sr (0.001, 0.001, 0.000)
Sr (0.737, 0.237, 0.500)
Y (0.503, 0.503, 0.000)

Values from the calculation:
The calculation puts the distance to the lowest polymorph of the same formula at 0.138 eV per atom.


Record 13
The following is a PBE calculation of a relaxed KSrY3 crystal, from Alexandria.

Cell: 5.997 5.997 5.997 Å, 90.00 90.00 90.00°
Fractional positions:
Y (0.000, 0.500, 0.000)
Y (0.000, 0.000, 0.500)
Y (0.500, 0.000, 0.000)
Sr (0.000, 0.000, 0.000)
K (0.500, 0.500, 0.500)

Values from the calculation:
The calculation puts the distance to the lowest polymorph of the same formula at 0.067 eV per atom.


Record 14
The following is a PBE calculation of a relaxed K2SrY crystal, from Alexandria.

Cell: 6.993 6.993 8.010 Å, 85.74 85.74 31.79°
Fractional positions:
K (0.004, 0.004, 0.999)
K (0.250, 0.250, 0.243)
Sr (0.494, 0.494, 0.537)
Y (0.752, 0.752, 0.721)

Values from the calculation:
The calculation puts the distance to the lowest polymorph of the same formula at 0.129 eV per atom.


Record 15
The following is a PBE calculation of a relaxed KSr2Y crystal, from Alexandria.

Cell: 4.220 6.719 6.719 Å, 90.00 90.00 90.00°
Fractional positions:
K (0.500, 0.000, 0.500)
Sr (0.000, 0.000, 0.000)
Sr (0.000, 0.500, 0.500)
Y (0.500, 0.500, 0.000)

Values from the calculation:
The calculation puts the distance to the lowest polymorph of the same formula at 0.119 eV per atom.


Record 16
The following is a PBE calculation of a relaxed KSr2Y crystal, from Alexandria.

Cell: 6.502 6.502 6.502 Å, 60.00 60.00 60.00°
Fractional positions:
Y (0.500, 0.500, 0.500)
Sr (0.250, 0.250, 0.250)
Sr (0.750, 0.750, 0.750)
K (0.000, 0.000, 0.000)

Values from the calculation:
The calculation puts the distance to the lowest polymorph of the same formula at 0.162 eV per atom.


Record 17
The following is a PBE calculation of a relaxed KSr2Y crystal, from Alexandria.

Cell: 3.900 3.900 13.641 Å, 90.00 90.00 111.51°
Fractional positions:
K (0.500, 0.500, 0.735)
Sr (0.000, 0.000, 0.013)
Sr (0.500, 0.500, 0.267)
Y (0.000, 0.000, 0.485)

Values from the calculation:
The calculation puts the distance to the lowest polymorph of the same formula at 0.071 eV per atom.


Record 18
The following is a PBE calculation of a relaxed KSrY3 crystal, from Alexandria.

Cell: 5.744 5.744 5.744 Å, 90.00 90.00 90.00°
Fractional positions:
Y (0.000, 0.500, 0.000)
Y (0.000, 0.000, 0.500)
Y (0.500, 0.000, 0.000)
Sr (0.500, 0.500, 0.500)
K (0.000, 0.000, 0.000)

Values from the calculation:
The calculation puts the distance to the lowest polymorph of the same formula at 0.000 eV per atom.


Record 19
The following is a PBE calculation of a relaxed K2SrY crystal, from Alexandria.

Cell: 3.845 3.845 13.878 Å, 90.00 90.00 90.00°
Fractional positions:
K (0.000, 0.000, 0.985)
K (0.000, 0.000, 0.515)
Sr (0.500, 0.500, 0.250)
Y (0.500, 0.500, 0.750)

Values from the calculation:
The calculation puts the distance to the lowest polymorph of the same formula at 0.160 eV per atom.


Record 20
The following is a PBE calculation of a relaxed K2SrY crystal, from Alexandria.

Cell: 4.065 6.746 7.355 Å, 90.00 90.00 90.00°
Fractional positions:
K (0.000, 0.000, 0.000)
K (0.500, 0.500, 0.000)
Sr (0.500, 0.000, 0.500)
Y (0.000, 0.500, 0.500)

Values from the calculation:
The calculation puts the distance to the lowest polymorph of the same formula at 0.133 eV per atom.


Record 21
The following is a PBE calculation of a relaxed KSr2Y crystal, from Alexandria.

Cell: 3.938 6.132 8.145 Å, 90.00 90.00 90.00°
Fractional positions:
K (0.500, 0.500, 0.743)
Sr (0.000, 0.000, 0.006)
Sr (0.500, 0.500, 0.271)
Y (0.000, 0.000, 0.480)

Values from the calculation:
The calculation puts the distance to the lowest polymorph of the same formula at 0.146 eV per atom.


Record 22
The following is a PBE calculation of a relaxed K2SrY crystal, from Alexandria.

Cell: 3.923 3.923 14.709 Å, 90.00 90.00 116.23°
Fractional positions:
K (0.000, 0.000, 0.987)
K (0.000, 0.000, 0.513)
Sr (0.500, 0.500, 0.250)
Y (0.500, 0.500, 0.750)

Values from the calculation:
The calculation puts the distance to the lowest polymorph of the same formula at 0.110 eV per atom.


Record 23
The following is a PBE calculation of a relaxed KSr2Y crystal, from Alexandria.

Cell: 7.339 7.339 7.339 Å, 134.75 134.75 65.91°
Fractional positions:
K (0.750, 0.250, 0.500)
Sr (0.000, 0.000, 0.000)
Sr (0.250, 0.750, 0.500)
Y (0.500, 0.500, 0.000)

Values from the calculation:
The calculation puts the distance to the lowest polymorph of the same formula at 0.189 eV per atom.


Record 24
The following is a PBE calculation of a relaxed K2SrY crystal, from Alexandria.

Cell: 6.641 6.641 6.641 Å, 60.00 60.00 60.00°
Fractional positions:
Y (0.500, 0.500, 0.500)
Sr (0.000, 0.000, 0.000)
K (0.250, 0.250, 0.250)
K (0.750, 0.750, 0.750)

Values from the calculation:
The calculation puts the distance to the lowest polymorph of the same formula at 0.288 eV per atom.


Record 25
The following is a PBE calculation of a relaxed KSr2Y crystal, from Alexandria.

Cell: 9.716 6.894 4.094 Å, 89.99 65.08 125.42°
Fractional positions:
K (0.500, 0.500, 0.000)
Sr (0.000, 0.000, 0.000)
Sr (0.500, 0.000, 0.500)
Y (0.000, 0.500, 0.500)

Values from the calculation:
The calculation puts the distance to the lowest polymorph of the same formula at 0.119 eV per atom.


Record 26
The following is a PBE calculation of a relaxed KSr2Y crystal, from Alexandria.

Cell: 6.909 6.909 7.661 Å, 83.12 83.12 32.93°
Fractional positions:
K (0.250, 0.250, 0.250)
Sr (0.008, 0.008, 0.979)
Sr (0.492, 0.492, 0.521)
Y (0.750, 0.750, 0.750)

Values from the calculation:
The calculation puts the distance to the lowest polymorph of the same formula at 0.134 eV per atom.


Record 27
The following is a PBE calculation of a relaxed KSr2Y crystal, from Alexandria.

Cell: 7.216 7.216 7.156 Å, 81.18 81.18 31.91°
Fractional positions:
K (0.245, 0.245, 0.248)
Sr (0.000, 0.000, 0.003)
Sr (0.758, 0.758, 0.729)
Y (0.497, 0.497, 0.520)

Values from the calculation:
The calculation puts the distance to the lowest polymorph of the same formula at 0.129 eV per atom.


Record 28
The following is a PBE calculation of a relaxed K2SrY crystal, from Alexandria.

Cell: 7.175 8.284 3.861 Å, 78.36 85.87 114.60°
Fractional positions:
K (0.000, 0.000, 0.000)
K (0.500, 0.000, 0.500)
Sr (0.000, 0.500, 0.500)
Y (0.500, 0.500, 0.000)

Values from the calculation:
The calculation puts the distance to the lowest polymorph of the same formula at 0.124 eV per atom.


Record 29
The following is a PBE calculation of a relaxed KSr2Y crystal, from Alexandria.

Cell: 7.808 7.808 7.808 Å, 148.62 127.39 62.55°
Fractional positions:
K (0.250, 0.750, 0.500)
Sr (0.991, 0.991, 0.000)
Sr (0.509, 0.509, 0.000)
Y (0.750, 0.250, 0.500)

Values from the calculation:
The calculation puts the distance to the lowest polymorph of the same formula at 0.164 eV per atom.


Record 30
The following is a PBE calculation of a relaxed KSr2Y crystal, from Alexandria.

Cell: 13.981 13.981 13.981 Å, 16.71 16.71 16.71°
Fractional positions:
K (0.750, 0.750, 0.750)
Sr (0.990, 0.990, 0.990)
Sr (0.510, 0.510, 0.510)
Y (0.250, 0.250, 0.250)

Values from the calculation:
The calculation puts the distance to the lowest polymorph of the same formula at 0.013 eV per atom.


Magnetic moment for the records above, in order: 0.84, 0.41, 0.98, 1.17, 0.00, 3.63, 0.00, 0.77, 0.00, 0.00, 1.48, 0.68, 0.00, 0.05, 0.00, 0.00, 0.00, 0.00, 0.49, 0.66, 0.53, 0.88, 0.01, 0.60, 0.03, 0.48, 0.17, 0.00, 0.93, 0.96 μB per formula unit
Calculated total energy for the records above, in order: -4.3706, -2.0479, -2.4697, -2.4836, -2.5404, -1.8961, -2.1290, -2.5509, -2.1185, -2.1304, -2.1341, -2.4131, -3.4079, -2.1981, -2.4322, -2.3892, -2.4803, -3.4748, -2.1676, -2.1948, -2.4051, -2.2172, -2.3623, -2.0394, -2.4318, -2.4172, -2.4223, -2.2033, -2.3865, -2.5380 eV per atom
Energy of formation from the pure elements for the records above, in order: 0.82, 0.54, 0.26, 0.25, 0.19, 0.82, 0.46, 0.18, 0.61, 0.45, 0.45, 0.32, 1.03, 0.39, 0.30, 0.34, 0.25, 0.96, 0.42, 0.39, 0.33, 0.37, 0.37, 0.55, 0.30, 0.31, 0.31, 0.38, 0.34, 0.19 eV per atom